DFT (PBE-GGA) results for an optimized crystal structure of LiW2Se.

Cell: 2.9976 4.8195 4.5675 Å, 90.00 92.14 90.00°
Fractional coordinates of all 4 atoms:
Li 0.0000 0.0000 0.0000
W 0.2812 0.5000 0.2309
W 0.7188 0.5000 0.7691
Se 0.5000 0.0000 0.5000

Calculated values
* ρ: 11.42 g/cm3
* formation energy without anion corrections: 0.515 eV per atom



DFT (PBE-GGA) results for an optimized crystal structure of Y2In5Ir3.

Cell: 13.4211 13.4211 7.3299 Å, 90.00 90.00 160.92°
Fractional coordinates of all 20 atoms:
Y 0.0262 0.9738 0.5000
Y 0.3228 0.6772 0.3849
Y 0.6772 0.3228 0.8849
Y 0.9738 0.0262 0.0000
In 0.0970 0.9030 0.1120
In 0.2066 0.7934 0.5844
In 0.2080 0.7920 0.1777
In 0.3743 0.6257 0.9546
In 0.4460 0.5540 0.3312
In 0.5540 0.4460 0.8312
In 0.6257 0.3743 0.4546
In 0.7920 0.2080 0.6777
In 0.7934 0.2066 0.0844
In 0.9030 0.0970 0.6120
Ir 0.1118 0.8882 0.7333
Ir 0.2698 0.7302 0.8795
Ir 0.4571 0.5429 0.7153
Ir 0.5429 0.4571 0.2153
Ir 0.7302 0.2698 0.3795
Ir 0.8882 0.1118 0.2333

Calculated values
* ρ: 10.22 g/cm3
* formation energy from the elements: -464.7 meV per atom



DFT (PBE-GGA) results for an optimized crystal structure of LiY2RuO6.

Cell: 5.7484 5.7484 5.7484 Å, 57.33 57.33 57.33°
Fractional coordinates of all 10 atoms:
Li 0.0000 0.0000 0.0000
Y 0.2674 0.2674 0.2674
Y 0.7712 0.7712 0.7712
Ru 0.4780 0.4780 0.4780
O 0.1235 0.6880 0.3561
O 0.2219 0.6008 0.8240
O 0.3561 0.1235 0.6880
O 0.6008 0.8240 0.2219
O 0.6880 0.3561 0.1235
O 0.8240 0.2219 0.6008

Calculated values
* ρ: 5.03 g/cm3
* formation energy without anion corrections: -2.377 eV per atom



DFT (PBE-GGA) results for an optimized crystal structure of TbYErTl.

Cell: 5.4661 5.4661 5.4661 Å, 60.00 60.00 60.00°
Fractional coordinates of all 4 atoms:
Tb 0.0000 0.0000 0.0000
Y 0.5000 0.5000 0.5000
Er 0.7500 0.7500 0.7500
Tl 0.2500 0.2500 0.2500

Calculated values
* ρ: 8.91 g/cm3
* distance to the lowest polymorph of the same formula: 138 meV/atom
* formation energy from the elements: -44.4 meV per atom



DFT (PBE-GGA) results for an optimized crystal structure of RbSmCdF6.

Cell: 8.4189 8.4189 8.4189 Å, 122.27 119.15 88.80°
Fractional coordinates of all 18 atoms:
Rb 0.2891 0.0391 0.2500
Rb 0.7109 0.9609 0.7500
Sm 0.0000 0.5000 0.5000
Sm 0.5000 0.5000 0.0000
Cd 0.0000 0.0000 0.5000
Cd 0.0000 0.5000 0.0000
F 0.0488 0.4067 0.2271
F 0.0488 0.8217 0.6421
F 0.0664 0.8164 0.2500
F 0.3164 0.5664 0.7500
F 0.3204 0.1783 0.7271
F 0.3204 0.5933 0.1421
F 0.6796 0.4067 0.8579
F 0.6796 0.8217 0.2729
F 0.6836 0.4336 0.2500
F 0.9336 0.1836 0.7500
F 0.9512 0.1783 0.3579
F 0.9512 0.5933 0.7729

Calculated values
* ρ: 3.68 g/cm3
* formation energy without anion corrections: -3.118 eV per atom



DFT (PBE-GGA) results for an optimized crystal structure of Ca2ZrSi.

Cell: 5.6036 5.6036 5.6036 Å, 131.30 131.30 71.33°
Fractional coordinates of all 4 atoms:
Ca 0.0000 0.0000 0.0000
Ca 0.7500 0.2500 0.5000
Zr 0.5000 0.5000 0.0000
Si 0.2500 0.7500 0.5000

Calculated values
* ρ: 3.41 g/cm3
* formation energy without anion corrections: 0.138 eV per atom



DFT (PBE-GGA) results for an optimized crystal structure of BMoN3.

Cell: 3.9441 3.9441 3.9441 Å, 90.00 90.00 90.00°
Fractional coordinates of all 5 atoms:
B 0.0000 0.0000 0.0000
Mo 0.5000 0.5000 0.5000
N 0.0000 0.5000 0.5000
N 0.5000 0.0000 0.5000
N 0.5000 0.5000 0.0000

Calculated values
* ρ: 4.03 g/cm3
* formation energy without anion corrections: 1.696 eV per atom



DFT (PBE-GGA) results for an optimized crystal structure of KBe2Pb.

Cell: 4.3196 4.4632 5.8220 Å, 90.00 90.00 90.00°
Fractional coordinates of all 4 atoms:
K 0.0000 0.0000 0.0000
Be 0.5000 0.2389 0.5000
Be 0.5000 0.7611 0.5000
Pb 0.0000 0.5000 0.5000

Calculated values
* ρ: 3.91 g/cm3
* formation energy from the elements: 530.2 meV per atom



DFT (PBE-GGA) results for an optimized crystal structure of ZrPbW2.

Cell: 4.7685 4.7685 4.7685 Å, 60.00 60.00 60.00°
Fractional coordinates of all 4 atoms:
Zr 0.0000 0.0000 0.0000
Pb 0.7500 0.7500 0.7500
W 0.2500 0.2500 0.2500
W 0.5000 0.5000 0.5000

Calculated values
* ρ: 14.43 g/cm3
* formation energy from the elements: 599.5 meV per atom



DFT (PBE-GGA) results for an optimized crystal structure of CrIr.

Cell: 2.6757 2.6757 8.6420 Å, 90.00 90.00 120.00°
Fractional coordinates of all 4 atoms:
Cr 0.3333 0.6667 0.3751
Cr 0.6667 0.3333 0.6249
Ir 0.3333 0.6667 0.8599
Ir 0.6667 0.3333 0.1401

Calculated values
* ρ: 15.14 g/cm3
* formation energy from the elements: -12.2 meV per atom



DFT (PBE-GGA) results for an optimized crystal structure of Ba2Tl3Ag5.

Cell: 9.8083 9.8083 9.8083 Å, 107.62 86.54 139.26°
Fractional coordinates of all 20 atoms:
Ba 0.1301 0.2293 0.3594
Ba 0.3699 0.7293 0.0993
Ba 0.6301 0.2707 0.9007
Ba 0.8699 0.7707 0.6406
Tl 0.1438 0.9003 0.0441
Tl 0.2500 0.7500 0.5000
Tl 0.3562 0.4003 0.7564
Tl 0.6438 0.5997 0.2436
Tl 0.7500 0.2500 0.5000
Tl 0.8562 0.0997 0.9559
Ag 0.0382 0.7500 0.2882
Ag 0.1141 0.6565 0.7706
Ag 0.2500 0.2500 0.0000
Ag 0.3859 0.1565 0.5424
Ag 0.4618 0.7500 0.7118
Ag 0.5382 0.2500 0.2882
Ag 0.6141 0.8435 0.4576
Ag 0.7500 0.7500 0.0000
Ag 0.8859 0.3435 0.2294
Ag 0.9618 0.2500 0.7118

Calculated values
* ρ: 8.39 g/cm3
* formation energy from the elements: -165.4 meV per atom



DFT (PBE-GGA) results for an optimized crystal structure of NaCd4Au4.

Cell: 9.2611 9.2611 5.5110 Å, 90.00 90.00 90.00°
Fractional coordinates of all 18 atoms:
Na 0.2500 0.2500 0.2500
Na 0.7500 0.7500 0.7500
Cd 0.1081 0.6340 0.1552
Cd 0.1340 0.8919 0.6552
Cd 0.3660 0.6081 0.6552
Cd 0.3919 0.8660 0.1552
Cd 0.6081 0.1340 0.8448
Cd 0.6340 0.3919 0.3448
Cd 0.8660 0.1081 0.3448
Cd 0.8919 0.3660 0.8448
Au 0.0596 0.5957 0.6631
Au 0.0957 0.9404 0.1631
Au 0.4043 0.5596 0.1631
Au 0.4404 0.9043 0.6631
Au 0.5596 0.0957 0.3369
Au 0.5957 0.4404 0.8369
Au 0.9043 0.0596 0.8369
Au 0.9404 0.4043 0.3369

Calculated values
* ρ: 8.86 g/cm3
* formation energy from the elements: -127.6 meV per atom